(1)
PBE-GGA NdBi2IrO8, relaxed; space group = P2/m (10); formation energy without anion corrections = -1376 meV per atom
1.0
5.1597 0.0340 -0.0031
0.0792 5.2188 -0.0058
0.0041 0.0078 6.8785
O Bi Nd Ir
8 2 1 1
direct
0.7199 0.7773 0.0000
0.2801 0.2227 0.0000
0.8358 0.2012 0.2140
0.8359 0.2012 0.7860
0.3348 0.3031 0.5000
0.1641 0.7988 0.2140
0.1642 0.7988 0.7860
0.6652 0.6969 0.5000
0.5000 0.5000 0.2451
0.5000 0.5000 0.7549
0.0000 0.0000 0.5000
0.0000 0.0000 0.0000

=====

(2)
PBE-GGA Nd6BiIr2Se3, relaxed; space group = C2/m (12); formation energy without anion corrections = -1238 meV per atom
1.0
-1.0467 -2.2056 -3.4596
2.7310 -7.4137 3.9002
-8.6383 1.9255 3.9771
Bi Nd Se Ir
1 6 3 2
direct
0.5000 0.0000 0.0000
0.3253 0.4290 0.6505
0.6749 0.1123 0.3498
0.9889 0.7320 0.9779
0.6747 0.5710 0.3495
0.3251 0.8877 0.6502
0.0111 0.2680 0.0221
0.1604 0.8365 0.3208
0.5000 0.5000 0.0000
0.8396 0.1635 0.6792
0.8312 0.6643 0.6623
0.1688 0.3357 0.3377

=====

(3)
PBE-GGA NiBi6Ir, relaxed; energy of formation = 0.079 eV per atom; space group = C2/m (12)
1.0
-6.6471 0.8981 0.1793
3.5921 -3.5546 4.4142
3.8137 7.5692 -1.2622
Bi Ir Ni
6 1 1
direct
0.2793 0.6140 0.2562
0.3860 0.7207 0.7438
0.6140 0.2793 0.2562
0.8907 0.8907 0.2585
0.7207 0.3860 0.7438
0.1093 0.1093 0.7415
0.0000 0.0000 0.0000
0.5000 0.5000 0.5000

=====

(4)
PBE-GGA Ni2BiIr, relaxed; energy of formation = 0.509 eV per atom; space group = I-42d (122)
1.0
3.9691 0.0000 0.0000
0.0000 3.9691 0.0000
1.9845 1.9845 8.8576
Ni Bi Ir
4 2 2
direct
0.2003 0.6250 0.2500
0.5497 0.1250 0.2500
0.8750 0.7997 0.7500
0.3750 0.4503 0.7500
0.0000 0.0000 0.0000
0.7500 0.2500 0.5000
0.5000 0.5000 0.0000
0.2500 0.7500 0.5000

=====

(5)
PBE-GGA NiBi4Ir, relaxed; energy of formation = 0.133 eV per atom; space group = I4_1md (109)
1.0
7.5133 0.0817 0.0000
-2.9592 6.9065 0.0000
-2.2771 -3.4941 6.2500
Ni Bi Ir
2 8 2
direct
0.5021 0.0021 0.5000
0.7521 0.7521 0.0000
0.2556 0.5587 0.3031
0.2556 0.9525 0.6969
0.7025 0.5056 0.1969
0.1966 0.9942 0.2024
0.7442 0.0418 0.2976
0.7918 0.9942 0.7976
0.3087 0.5056 0.8031
0.7442 0.4466 0.7024
0.2482 0.2482 0.0000
0.9982 0.4982 0.5000

=====

(6)
PBE-GGA NiBi3Ir, relaxed; energy of formation = 0.205 eV per atom; space group = Ima2 (46)
1.0
-4.1142 5.3605 1.6763
-1.8245 -4.8137 -4.6874
0.4468 -3.7489 5.8496
Bi Ir Ni
6 2 2
direct
0.4670 0.7121 0.8673
0.1695 0.3243 0.3452
0.9791 0.8243 0.6548
0.8447 0.5997 0.1327
0.8447 0.2121 0.7451
0.4670 0.0997 0.2549
0.7472 0.9186 0.3286
0.5900 0.4186 0.6714
0.2367 0.6036 0.1331
0.4706 0.1036 0.8669

=====

(7)
PBE-GGA NiBi6Ir, relaxed; energy of formation = -0.003 eV per atom; space group = C2/m (12)
1.0
-3.3592 0.6913 -7.7197
-0.6964 -7.9809 2.6787
-4.0863 5.1175 5.3100
Bi Ir Ni
12 2 2
direct
0.6621 0.8258 0.1561
0.5057 0.8438 0.6694
0.3379 0.1742 0.8439
0.4943 0.1562 0.3306
0.8458 0.6624 0.5083
0.3303 0.4940 0.1561
0.1646 0.6684 0.8330
0.8354 0.3316 0.1670
0.1744 0.8363 0.3306
0.1542 0.3376 0.4917
0.8256 0.1637 0.6694
0.6697 0.5060 0.8439
0.0000 0.0000 0.5000
0.5000 0.5000 0.5000
0.0000 0.5000 0.0000
0.5000 0.0000 0.0000

=====

(8)
PBE-GGA NiBi8Ir2, relaxed; energy of formation = 0.194 eV per atom; space group = C2/m (12)
1.0
-2.9473 -2.3477 3.7451
-0.1920 -7.1879 -4.4747
5.9307 -5.9401 1.1259
Bi Ir Ni
8 2 1
direct
0.7263 0.1522 0.1522
0.7808 0.6456 0.6456
0.7530 0.6638 0.1965
0.2737 0.8478 0.8478
0.2192 0.3544 0.3544
0.2470 0.8035 0.3362
0.7530 0.1965 0.6638
0.2470 0.3362 0.8035
0.7766 0.8259 0.8259
0.2234 0.1741 0.1741
0.0000 0.0000 0.0000

=====

Results for VASP energy: -6.46; -6.29; -4.66; -5.57; -4.89; -5.05; -4.74; -4.76 (in eV per atom, following the order of the records).